Compound: Tl2RuWBr
Source: Alexandria
Functional: PBE-GGA
Structure: relaxed

Cell lengths 5.5155, 4.7406, 5.5155 Å; angles 90.00, 90.00, 90.00 degrees
With the nearest neighbours (Å) after each atom.
Sites, in units of the cell vectors:
Ru (0.5000, 0.5000, 0.5000)  8 Tl 3.64, 4 Br 3.90
Tl (0.0000, 0.0000, 0.5000)  2 W 2.76
Tl (0.5000, 0.0000, 0.0000)  2 W 2.76
Br (0.0000, 0.5000, 0.0000)  2 W 2.37
W (0.0000, 0.0000, 0.0000)  2 Br 2.37

Summary:
space group = P4/mmm
formation energy without anion corrections = 1.54 eV per atom

Compound: ZrTlRu2Br
Source: Alexandria
Functional: PBE-GGA
Structure: relaxed

Cell lengths 4.6300, 4.6300, 4.9601 Å; angles 90.00, 90.00, 90.00 degrees
With the nearest neighbours (Å) after each atom.
Sites, in units of the cell vectors:
Ru (0.0000, 0.5000, 0.0000)  2 Br 2.32
Ru (0.5000, 0.0000, 0.0000)  2 Br 2.32
Tl (0.5000, 0.5000, 0.5000)  4 Zr 3.27, 8 Ru 3.39
Br (0.0000, 0.0000, 0.0000)  4 Ru 2.32, 2 Zr 2.48
Zr (0.0000, 0.0000, 0.5000)  2 Br 2.48

Summary:
space group = P4/mmm
formation energy without anion corrections = 0.91 eV per atom

Compound: TmRuBr
Source: Alexandria
Functional: PBE-GGA
Structure: relaxed

Cell lengths 4.1336, 4.1336, 11.4347 Å; angles 79.59, 79.59, 60.00 degrees
With the nearest neighbours (Å) after each atom.
Sites, in units of the cell vectors:
Tm (0.5578, 0.5578, 0.3267)  3 Br 2.99, 6 Ru 3.02-3.13
Tm (0.4422, 0.4422, 0.6733)  3 Br 2.99, 6 Ru 3.02-3.13
Br (0.2781, 0.2781, 0.1656)  3 Tm 2.99
Br (0.7219, 0.7219, 0.8344)  3 Tm 2.99
Ru (0.8361, 0.8361, 0.4918)  3 Ru 2.39
Ru (0.1639, 0.1639, 0.5082)  3 Ru 2.39

Summary:
space group = R-3m
formation energy without anion corrections = -0.95 eV per atom

Compound: Tm4RuBr5
Source: Alexandria
Functional: PBE-GGA
Structure: relaxed

Cell lengths 3.9119, 8.5594, 9.4758 Å; angles 102.18, 101.91, 90.00 degrees
With the nearest neighbours (Å) after each atom.
Sites, in units of the cell vectors:
Tm (0.3557, 0.9281, 0.7114)  1 Ru 2.61, 2 Br 2.89
Tm (0.9969, 0.7847, 0.9939)  2 Ru 2.68
Tm (0.6443, 0.0719, 0.2886)  1 Ru 2.61, 2 Br 2.89
Tm (0.0031, 0.2153, 0.0061)  2 Ru 2.68
Ru (0.5000, 0.0000, 0.0000)  6 Tm 2.61-2.68
Br (0.8311, 0.6735, 0.6622)  3 Tm 2.89-3.02
Br (0.8192, 0.1533, 0.6383)  3 Tm 2.93-3.17
Br (0.1808, 0.8467, 0.3617)  3 Tm 2.93-3.17
Br (0.5000, 0.5000, 0.0000)  4 Tm 3.13
Br (0.1689, 0.3265, 0.3378)  3 Tm 2.89-3.02

Summary:
space group = C2/m
formation energy without anion corrections = -1.32 eV per atom

Compound: URuBr
Source: Alexandria
Functional: PBE-GGA
Structure: relaxed

Cell lengths 3.6488, 8.5502, 10.7028 Å; angles 91.96, 99.81, 90.00 degrees
With the nearest neighbours (Å) after each atom.
Sites, in units of the cell vectors:
Br (0.0857, 0.3554, 0.1715)  4 U 3.12-3.16
Br (0.4249, 0.1389, 0.8498)  2 U 2.90-2.93
Br (0.5751, 0.8611, 0.1502)  2 U 2.90-2.93
Br (0.9143, 0.6446, 0.8285)  4 U 3.12-3.16
Ru (0.2442, 0.6238, 0.4885)  4 U 2.57-2.84, 4 Ru 2.81
Ru (0.7512, 0.8745, 0.5025)  2 U 2.55, 4 Ru 2.81-2.82
Ru (0.7558, 0.3762, 0.5115)  4 U 2.57-2.84, 4 Ru 2.81
Ru (0.2488, 0.1255, 0.4975)  2 U 2.55, 4 Ru 2.81-2.82
U (0.3416, 0.4020, 0.6832)  3 Ru 2.57-2.84
U (0.6644, 0.1308, 0.3287)  3 Ru 2.55-2.80
U (0.6584, 0.5980, 0.3168)  3 Ru 2.57-2.84
U (0.3356, 0.8692, 0.6713)  3 Ru 2.55-2.80

Summary:
space group = C2/m
formation energy without anion corrections = -0.39 eV per atom

Compound: VRuBr
Source: Alexandria
Functional: PBE-GGA
Structure: relaxed

Cell lengths 3.0782, 3.0784, 12.3793 Å; angles 90.00, 90.00, 120.00 degrees
With the nearest neighbours (Å) after each atom.
Sites, in units of the cell vectors:
V (0.4491, 0.8983, 0.0000)  6 Br 2.52-2.53
V (0.4396, 0.8792, 0.5000)  6 Ru 2.46
Ru (0.7729, 0.5458, 0.3621)  3 V 2.46
Ru (0.7729, 0.5458, 0.6379)  3 V 2.46
Br (0.1160, 0.2321, 0.8551)  3 V 2.52-2.53
Br (0.1160, 0.2321, 0.1449)  3 V 2.52-2.53

Summary:
space group = Amm2
formation energy without anion corrections = 0.19 eV per atom

Compound: V2Ru2Br
Source: Alexandria
Functional: PBE-GGA
Structure: relaxed

Cell lengths 7.3180, 7.3180, 2.9503 Å; angles 90.00, 90.00, 90.00 degrees
With the nearest neighbours (Å) after each atom.
Sites, in units of the cell vectors:
Ru (0.1361, 0.6361, 0.5000)  6 V 2.53-2.70, 1 Ru 2.82
Ru (0.6361, 0.8639, 0.5000)  6 V 2.53-2.70, 1 Ru 2.82
Ru (0.8639, 0.3639, 0.5000)  6 V 2.53-2.70, 1 Ru 2.82
Ru (0.3639, 0.1361, 0.5000)  6 V 2.53-2.70, 1 Ru 2.82
Br (0.0000, 0.0000, 0.0000)  4 V 2.80, 2 Br 2.95
Br (0.5000, 0.5000, 0.0000)  4 V 2.80, 2 Br 2.95
V (0.3546, 0.8546, 0.0000)  6 Ru 2.53-2.70, 2 Br 2.80
V (0.8546, 0.6454, 0.0000)  6 Ru 2.53-2.70, 2 Br 2.80
V (0.6454, 0.1454, 0.0000)  6 Ru 2.53-2.70, 2 Br 2.80
V (0.1454, 0.3546, 0.0000)  6 Ru 2.53-2.70, 2 Br 2.80

Summary:
space group = P4/mbm
formation energy without anion corrections = 0.24 eV per atom

Compound: V2Ru2Br
Source: Alexandria
Functional: PBE-GGA
Structure: relaxed

Cell lengths 3.8331, 3.8331, 7.0955 Å; angles 74.33, 74.33, 90.00 degrees
With the nearest neighbours (Å) after each atom.
Sites, in units of the cell vectors:
Ru (0.7500, 0.2500, 0.5000)  4 V 2.42, 4 Ru 2.71
Ru (0.2500, 0.7500, 0.5000)  4 V 2.42, 4 Ru 2.71
Br (0.0000, 0.0000, 0.0000)  8 V 3.25
V (0.3628, 0.3628, 0.2743)  4 Ru 2.42
V (0.6372, 0.6372, 0.7257)  4 Ru 2.42

Summary:
space group = I4/mmm
formation energy without anion corrections = 0.33 eV per atom

Compound: V3RuBr
Source: Alexandria
Functional: PBE-GGA
Structure: relaxed

Cell lengths 4.7432, 4.7432, 4.7432 Å; angles 90.00, 90.00, 90.00 degrees
With the nearest neighbours (Å) after each atom.
Sites, in units of the cell vectors:
Ru (0.0000, 0.0000, 0.0000)  6 V 2.37
Br (0.5000, 0.5000, 0.5000)  12 V 3.35
V (0.0000, 0.5000, 0.0000)  2 Ru 2.37
V (0.0000, 0.0000, 0.5000)  2 Ru 2.37
V (0.5000, 0.0000, 0.0000)  2 Ru 2.37

Summary:
space group = Pm-3m
formation energy without anion corrections = 1.06 eV per atom

Compound: V3RuBr
Source: Alexandria
Functional: PBE-GGA
Structure: relaxed

Cell lengths 4.4044, 4.4044, 4.4044 Å; angles 90.00, 90.00, 90.00 degrees
With the nearest neighbours (Å) after each atom.
Sites, in units of the cell vectors:
Ru (0.5000, 0.5000, 0.5000)  12 V 3.11
Br (0.0000, 0.0000, 0.0000)  6 V 2.20
V (0.0000, 0.5000, 0.0000)  2 Br 2.20
V (0.0000, 0.0000, 0.5000)  2 Br 2.20
V (0.5000, 0.0000, 0.0000)  2 Br 2.20

Summary:
space group = Pm-3m
formation energy without anion corrections = 1.26 eV per atom

Compound: VRu3Br
Source: Alexandria
Functional: PBE-GGA
Structure: relaxed

Cell lengths 4.5884, 4.5884, 4.5884 Å; angles 90.00, 90.00, 90.00 degrees
With the nearest neighbours (Å) after each atom.
Sites, in units of the cell vectors:
Ru (0.0000, 0.5000, 0.0000)  2 V 2.29
Ru (0.0000, 0.0000, 0.5000)  2 V 2.29
Ru (0.5000, 0.0000, 0.0000)  2 V 2.29
Br (0.5000, 0.5000, 0.5000)  12 Ru 3.24
V (0.0000, 0.0000, 0.0000)  6 Ru 2.29

Summary:
space group = Pm-3m
formation energy without anion corrections = 1.44 eV per atom

Compound: VRu3Br
Source: Alexandria
Functional: PBE-GGA
Structure: relaxed

Cell lengths 4.5229, 4.5229, 4.5229 Å; angles 90.00, 90.00, 90.00 degrees
With the nearest neighbours (Å) after each atom.
Sites, in units of the cell vectors:
Ru (0.0000, 0.5000, 0.0000)  2 Br 2.26
Ru (0.0000, 0.0000, 0.5000)  2 Br 2.26
Ru (0.5000, 0.0000, 0.0000)  2 Br 2.26
Br (0.0000, 0.0000, 0.0000)  6 Ru 2.26
V (0.5000, 0.5000, 0.5000)  12 Ru 3.20

Summary:
space group = Pm-3m
formation energy without anion corrections = 1.56 eV per atom